# Ac6HgPt2Br3 | the Alexandria database | PBE | relaxed
# Mass density   8.38 Mg/m³
# Total moment   0.00 μB per cell
# Calculated volume   36.22 Å³ per atom
# DFT total energy   -55.93 eV per formula unit
data_Ac6HgPt2Br3
_cell_length_a 10.730
_cell_length_b 10.730
_cell_length_c 9.687
_cell_angle_alpha 106.94
_cell_angle_beta 106.94
_cell_angle_gamma 24.10
_symmetry_space_group_name_H-M 'P 1'
_symmetry_Int_Tables_number 1
loop_
_symmetry_equiv_pos_as_xyz
'x,y,z'
loop_
_atom_site_label
_atom_site_fract_x
_atom_site_fract_y
_atom_site_fract_z
Ac1 0.018 0.018 0.253
Ac2 0.319 0.319 0.441
Ac3 0.340 0.340 0.880
Ac4 0.660 0.660 0.120
Ac5 0.681 0.681 0.559
Ac6 0.982 0.982 0.747
Hg1 0.500 0.500 0.000
Pt1 0.169 0.169 0.339
Pt2 0.831 0.831 0.661
Br1 0.161 0.161 0.834
Br2 0.500 0.500 0.500
Br3 0.839 0.839 0.166